Entry 1:
Below is a relaxed LiCd2Os crystal, with properties calculated at the GGA-PBE level.

Results
Formation energy: 0.297 eV per atom
Size of the total moment: 0.026 μB/atom

a = 2.8163 Å, b = 2.8163 Å, c = 9.6260 Å
α = 90.00°, β = 90.00°, γ = 115.68°
With the nearest neighbours (Å) after each atom.
Atoms (fractional coordinates):
Li1 0.0000 0.0000 0.0000  4 Cd 2.80, 6 Li 2.82-3.00
Cd1 0.5000 0.5000 0.2453  2 Li 2.80, 6 Cd 2.82-3.00, 2 Os 2.87
Cd2 0.5000 0.5000 0.7547  2 Li 2.80, 6 Cd 2.82-3.00, 2 Os 2.87
Os1 0.0000 0.0000 0.5000  6 Os 2.82-3.00, 4 Cd 2.87

***

Entry 2:
Below is a relaxed LiCdOs crystal, with properties calculated at the GGA-PBE level.

Results
Formation energy: 0.316 eV per atom
Energy relative to the lowest polymorph listed for this composition: 0.08 eV/f.u.
Size of the total moment: 0.000 μB/atom

a = 7.5438 Å, b = 7.3290 Å, c = 2.7240 Å
α = 83.93°, β = 75.03°, γ = 21.04°
With the nearest neighbours (Å) after each atom.
Atoms (fractional coordinates):
Li1 0.0000 0.0000 0.0000  2 Os 2.60, 6 Li 2.72-2.91, 2 Cd 2.89
Cd1 0.6737 0.6737 0.3263  6 Cd 2.72-2.91, 2 Li 2.89, 2 Os 2.92
Os1 0.3498 0.3498 0.6502  2 Li 2.60, 6 Os 2.72-2.91

***

Entry 3:
Below is a relaxed LiCdOs crystal, with properties calculated at the GGA-PBE level.

Results
Formation energy: 0.389 eV per atom
Energy relative to the lowest polymorph listed for this composition: 0.30 eV/f.u.
Size of the total moment: 0.000 μB/atom

a = 4.9213 Å, b = 4.9213 Å, c = 4.9213 Å
α = 149.40°, β = 126.63°, γ = 62.78°
With the nearest neighbours (Å) after each atom.
Atoms (fractional coordinates):
Li1 0.0000 0.0000 0.0000  2 Li 2.60, 1 Cd 2.76, 1 Os 2.82
Cd1 0.3288 0.3288 0.0000  2 Cd 2.60, 1 Li 2.76, 1 Os 2.81
Os1 0.6638 0.6638 0.0000  2 Os 2.60, 1 Cd 2.81, 1 Li 2.82

***

Entry 4:
Below is a relaxed LiCd2Os crystal, with properties calculated at the GGA-PBE level.

Results
Formation energy: 0.320 eV per atom
Size of the total moment: 0.000 μB/atom

a = 2.7403 Å, b = 4.4403 Å, c = 5.6955 Å
α = 90.00°, β = 90.00°, γ = 90.00°
With the nearest neighbours (Å) after each atom.
Atoms (fractional coordinates):
Li1 0.0000 0.0000 0.0000  1 Cd 2.60, 2 Li 2.74
Cd1 0.0000 0.0000 0.4559  1 Li 2.60, 2 Cd 2.74, 4 Os 2.90
Cd2 0.5000 0.5000 0.7487  2 Cd 2.74, 2 Os 2.76-2.94, 4 Li 2.98
Os1 0.5000 0.5000 0.2326  2 Os 2.74, 6 Cd 2.76-2.94, 4 Li 2.93

***

Entry 5:
Below is a relaxed LiCd3Os crystal, with properties calculated at the GGA-PBE level.

Results
Formation energy: 0.585 eV per atom
Energy relative to the lowest polymorph listed for this composition: 0.00 eV/f.u.
Size of the total moment: 0.000 μB/atom

a = 5.2136 Å, b = 5.2136 Å, c = 5.2136 Å
α = 90.00°, β = 90.00°, γ = 90.00°
With the nearest neighbours (Å) after each atom.
Atoms (fractional coordinates):
Li1 0.0000 0.0000 0.0000  12 Cd 3.69
Cd1 0.0000 0.5000 0.5000  2 Os 2.61
Cd2 0.5000 0.0000 0.5000  2 Os 2.61
Cd3 0.5000 0.5000 0.0000  2 Os 2.61
Os1 0.5000 0.5000 0.5000  6 Cd 2.61

***

Entry 6:
Below is a relaxed LiCd2Os crystal, with properties calculated at the GGA-PBE level.

Results
Formation energy: 0.400 eV per atom
Size of the total moment: 0.150 μB/atom

a = 5.0917 Å, b = 5.0917 Å, c = 5.0917 Å
α = 133.44°, β = 133.44°, γ = 67.96°
With the nearest neighbours (Å) after each atom.
Atoms (fractional coordinates):
Li1 0.0000 0.0000 0.0000  8 Cd 2.85-2.92, 4 Os 2.92
Cd1 0.5000 0.5000 0.0000  4 Li 2.85, 4 Cd 2.92, 4 Os 2.92
Cd2 0.7500 0.2500 0.5000  4 Os 2.85, 4 Cd 2.92, 4 Li 2.92
Os1 0.2500 0.7500 0.5000  8 Cd 2.85-2.92, 4 Li 2.92

***

Entry 7:
Below is a relaxed LiCd2Os crystal, with properties calculated at the GGA-PBE level.

Results
Formation energy: 0.372 eV per atom
Size of the total moment: 0.158 μB/atom

a = 2.7970 Å, b = 2.7970 Å, c = 9.0376 Å
α = 90.00°, β = 90.00°, γ = 90.00°
With the nearest neighbours (Å) after each atom.
Atoms (fractional coordinates):
Li1 0.0000 0.0000 0.0000  4 Os 2.76, 4 Li 2.80, 4 Cd 3.03
Cd1 0.0000 0.0000 0.4529  4 Cd 2.80, 4 Os 2.94
Cd2 0.5000 0.5000 0.7462  4 Cd 2.80, 4 Li 3.03
Os1 0.5000 0.5000 0.2130  4 Li 2.76, 4 Os 2.80, 4 Cd 2.94

***

Entry 8:
Below is a relaxed LiCdOs crystal, with properties calculated at the GGA-PBE level.

Results
Formation energy: 0.414 eV per atom
Energy relative to the lowest polymorph listed for this composition: 0.38 eV/f.u.
Size of the total moment: 0.012 μB/atom

a = 6.9997 Å, b = 6.9997 Å, c = 6.9997 Å
α = 157.84°, β = 157.84°, γ = 31.54°
With the nearest neighbours (Å) after each atom.
Atoms (fractional coordinates):
Li1 0.0000 0.0000 0.0000  4 Li 2.69, 4 Os 2.77
Cd1 0.6771 0.6771 0.0000  4 Cd 2.69
Os1 0.3507 0.3507 0.0000  4 Os 2.69, 4 Li 2.77

***

Entry 9:
Below is a relaxed LiCd2Os crystal, with properties calculated at the GGA-PBE level.

Results
Formation energy: 0.322 eV per atom
Size of the total moment: 0.000 μB/atom

a = 4.9316 Å, b = 4.9316 Å, c = 5.4581 Å
α = 94.68°, β = 94.68°, γ = 31.63°
With the nearest neighbours (Å) after each atom.
Atoms (fractional coordinates):
Li1 0.0000 0.0000 0.0000  2 Li 2.69, 6 Cd 2.79-3.00
Cd1 0.2446 0.2446 0.7505  2 Cd 2.69, 3 Li 2.79-3.00, 3 Os 2.88-2.92
Cd2 0.7554 0.7554 0.2495  2 Cd 2.69, 3 Li 2.79-3.00, 3 Os 2.88-2.92
Os1 0.5000 0.5000 0.5000  2 Os 2.69, 6 Cd 2.88-2.92

***

Entry 10:
Below is a relaxed Li2Cd2Os crystal, with properties calculated at the GGA-PBE level.

Results
Formation energy: 0.564 eV per atom
Size of the total moment: 0.206 μB/atom

a = 7.5109 Å, b = 7.5109 Å, c = 7.5109 Å
α = 152.90°, β = 152.90°, γ = 38.70°
With the nearest neighbours (Å) after each atom.
Atoms (fractional coordinates):
Li1 0.2500 0.7500 0.5000  4 Li 2.49, 4 Cd 2.76
Li2 0.7500 0.2500 0.5000  4 Li 2.49, 4 Cd 2.76
Cd1 0.1003 0.1003 0.0000  4 Li 2.76, 1 Cd 2.84, 4 Os 2.87
Cd2 0.8997 0.8997 0.0000  4 Li 2.76, 1 Cd 2.84, 4 Os 2.87
Os1 0.5000 0.5000 0.0000  8 Cd 2.87

***

Entry 11:
Below is a relaxed LiCd2Os crystal, with properties calculated at the GGA-PBE level.

Results
Formation energy: 0.277 eV per atom
Size of the total moment: 0.000 μB/atom

a = 2.7432 Å, b = 4.3109 Å, c = 5.8279 Å
α = 90.00°, β = 95.61°, γ = 90.00°
With the nearest neighbours (Å) after each atom.
Atoms (fractional coordinates):
Li1 0.0000 0.0000 0.0000  2 Li 2.74, 8 Cd 2.84-3.06, 2 Os 2.91
Cd1 0.4655 0.5000 0.2513  4 Cd 2.74-2.95, 4 Li 2.84-3.06, 4 Os 2.91-2.96
Cd2 0.5345 0.5000 0.7487  4 Cd 2.74-2.95, 4 Li 2.84-3.06, 4 Os 2.91-2.96
Os1 0.0000 0.0000 0.5000  2 Os 2.74, 8 Cd 2.91-2.96, 2 Li 2.91

***

Entry 12:
Below is a relaxed LiCd2Os crystal, with properties calculated at the GGA-PBE level.

Results
Formation energy: 0.229 eV per atom
Size of the total moment: 0.000 μB/atom

a = 4.6651 Å, b = 4.6651 Å, c = 3.1160 Å
α = 90.00°, β = 90.00°, γ = 90.00°
With the nearest neighbours (Å) after each atom.
Atoms (fractional coordinates):
Li1 0.0000 0.0000 0.0000  8 Cd 2.81, 2 Li 3.12
Cd1 0.0000 0.5000 0.5000  4 Li 2.81, 4 Os 2.81, 2 Cd 3.12
Cd2 0.5000 0.0000 0.5000  4 Li 2.81, 4 Os 2.81, 2 Cd 3.12
Os1 0.5000 0.5000 0.0000  8 Cd 2.81, 2 Os 3.12